Computed, not measured: an optimized crystal structure of LiMoAu2 at the PBE level of DFT.

Unit cell a=2.711 b=4.362 c=5.673 alpha=90.00 beta=90.00 gamma=90.00
Fractional positions:
Au  0.000  0.000  0.960
Au  0.500  0.500  0.296
Mo  0.500  0.500  0.781
Li  0.000  0.000  0.463

**SG**: No. 25
**Density**: 12.30 g/cm³
**Formation energy from the elements**: 0.10 eV/atom